No. 1
Compound: Sr2LaCr
Source: Alexandria via LeMat-Bulk
Functional: meta-GGA SCAN
Structure: single point on PBEsol structure

The calculation puts the energy of formation at 196 meV per atom. Its energy above the most stable polymorph in this dataset is 0.000 eV/atom.

abc: 3.850 3.850 9.748
angles: 90.00 90.00 90.00
Each line ends with the local moment (μB).
Fractional positions:
Cr  0.000  0.000  0.473  3.84
La  0.500  0.500  0.318  -0.17
Sr  0.000  0.000  0.023  -0.06
Sr  0.500  0.500  0.687  -0.03


No. 2
Compound: FeN2F2
Source: Alexandria via LeMat-Bulk
Functional: meta-GGA SCAN
Structure: single point on PBEsol structure

Its formation energy from raw total energies is 298 meV per atom.

abc: 3.715 3.549 3.549
angles: 90.00 90.00 90.00
Each line ends with the local moment (μB).
Fractional positions:
N  0.000  0.000  0.500  0.98
N  0.000  0.500  0.000  0.98
Fe  0.000  0.000  0.000  -0.99
F  0.500  0.500  0.500  0.24
F  0.500  0.000  0.000  0.01


No. 3
Compound: Zr2SnH2
Source: Alexandria via LeMat-Bulk
Functional: meta-GGA SCAN
Structure: single point on PBEsol structure

As for the total energy: -107.13 eV per cell.

abc: 3.793 3.793 5.474
angles: 110.27 110.27 90.00
Fractional positions:
H  0.250  0.750  0.500
H  0.750  0.250  0.500
Sn  0.000  0.000  0.000
Zr  0.334  0.334  0.669
Zr  0.666  0.666  0.331


No. 4
Compound: NaTaS2
Source: Alexandria via LeMat-Bulk
Functional: meta-GGA SCAN
Structure: single point on PBEsol structure

Its formation energy from raw total energies is -778 meV per atom.

abc: 5.990 5.990 6.965
angles: 115.47 115.47 90.00
Each line ends with the local moment (μB).
Fractional positions:
Na  0.750  0.250  0.500  0.01
Na  0.500  0.500  0.000  0.01
S  0.318  0.875  0.250  -0.03
S  0.932  0.375  0.250  -0.03
S  0.125  0.068  0.750  -0.03
S  0.625  0.682  0.750  -0.03
Ta  0.250  0.750  0.500  1.15
Ta  0.000  0.000  0.000  1.15


No. 5
Compound: LiYSe2
Source: Alexandria via LeMat-Bulk
Functional: meta-GGA SCAN
Structure: single point on PBEsol structure

Its formation energy from raw total energies is -1941 meV per atom.

abc: 4.012 4.012 6.788
angles: 72.81 72.81 60.00
Fractional positions:
Y  0.000  0.000  0.000
Se  0.752  0.752  0.744
Se  0.248  0.248  0.256
Li  0.500  0.500  0.500


No. 6
Compound: CoCuRe2
Source: Alexandria via LeMat-Bulk
Functional: meta-GGA SCAN
Structure: single point on PBEsol structure

The calculation puts the energy of formation at 231 meV per atom. Its energy above the most stable polymorph in this dataset is 0.017 eV/atom.

abc: 2.639 2.639 8.707
angles: 81.28 81.28 60.00
Each line ends with the local moment (μB).
Fractional positions:
Co  0.500  0.500  0.500  1.52
Cu  0.000  0.000  0.000  -0.01
Re  0.247  0.247  0.259  0.00
Re  0.753  0.753  0.741  0.00


No. 7
Compound: NdCdNi2
Source: Alexandria via LeMat-Bulk
Functional: meta-GGA SCAN
Structure: single point on PBEsol structure

The calculation puts the energy of formation at -188 meV per atom.

abc: 4.360 4.360 5.132
angles: 64.87 64.87 60.00
Fractional positions:
Ni  0.703  0.703  0.891
Ni  0.297  0.297  0.109
Nd  0.500  0.500  0.500
Cd  0.000  0.000  0.000


No. 8
Compound: Si3Hg
Source: Alexandria via LeMat-Bulk
Functional: meta-GGA SCAN
Structure: single point on PBEsol structure

Its energy above the most stable polymorph in this dataset is 0.000 eV/atom. Its formation energy from raw total energies is 648 meV per atom.

abc: 3.154 3.154 7.115
angles: 90.00 90.00 90.00
Fractional positions:
Si  0.500  0.500  0.318
Si  0.000  0.000  0.500
Si  0.500  0.500  0.682
Hg  0.000  0.000  0.000


No. 9
Compound: AlAgO2
Source: Alexandria via LeMat-Bulk
Functional: meta-GGA SCAN
Structure: single point on PBEsol structure

Its formation energy from raw total energies is -2126 meV per atom.

abc: 4.921 5.405 4.921
angles: 62.92 90.00 117.08
Fractional positions:
O  0.524  0.750  0.375
O  0.226  0.750  0.875
O  0.875  0.250  0.524
O  0.375  0.250  0.226
Al  0.250  0.500  0.250
Al  0.500  0.000  0.500
Ag  0.750  0.500  0.750
Ag  0.000  0.000  0.000


No. 10
Compound: FeIr2
Source: Alexandria via LeMat-Bulk
Functional: meta-GGA SCAN
Structure: single point on PBEsol structure

The calculation puts the energy of formation at -116 meV per atom.

abc: 2.688 5.013 6.273
angles: 103.32 90.00 105.55
Each line ends with the local moment (μB).
Fractional positions:
Ir  0.335  0.670  0.670  0.05
Ir  0.390  0.780  0.274  0.15
Ir  0.057  0.114  0.607  0.11
Ir  0.719  0.438  0.951  0.10
Fe  0.999  0.998  0.003  3.04
Fe  0.666  0.333  0.330  3.09


No. 11
Compound: La3GaCuSe7
Source: Alexandria via LeMat-Bulk
Functional: meta-GGA SCAN
Structure: single point on PBEsol structure

Its formation energy from raw total energies is -1610 meV per atom.

abc: 6.079 10.550 10.550
angles: 120.00 90.00 90.00
Fractional positions:
La  0.416  0.225  0.861
La  0.416  0.635  0.775
La  0.416  0.139  0.365
La  0.916  0.775  0.139
La  0.916  0.365  0.225
La  0.916  0.861  0.635
Ga  0.005  0.333  0.667
Ga  0.505  0.667  0.333
Cu  0.395  0.000  0.000
Cu  0.895  0.000  0.000
Se  0.406  0.902  0.746
Se  0.406  0.843  0.098
Se  0.406  0.254  0.157
Se  0.906  0.098  0.254
Se  0.906  0.157  0.902
Se  0.906  0.746  0.843
Se  0.616  0.333  0.667
Se  0.116  0.667  0.333
Se  0.150  0.089  0.573
Se  0.150  0.484  0.911
Se  0.150  0.427  0.516
Se  0.650  0.911  0.427
Se  0.650  0.516  0.089
Se  0.650  0.573  0.484


No. 12
Compound: MnAl2Sb
Source: Alexandria via LeMat-Bulk
Functional: meta-GGA SCAN
Structure: single point on PBEsol structure

Its formation energy from raw total energies is 68 meV per atom.

abc: 2.955 4.771 5.125
angles: 102.13 106.75 90.00
Each line ends with the local moment (μB).
Fractional positions:
Sb  0.000  0.500  0.000  -0.02
Mn  0.500  0.000  0.000  3.43
Al  0.229  0.225  0.459  -0.03
Al  0.771  0.775  0.541  -0.03


No. 13
Compound: Li2YRePd
Source: Alexandria via LeMat-Bulk
Functional: meta-GGA SCAN
Structure: single point on PBEsol structure

The calculation puts the energy of formation at 325 meV per atom.

abc: 4.408 4.408 4.872
angles: 90.00 90.00 90.00
Each line ends with the local moment (μB).
Fractional positions:
Y  0.500  0.500  0.500  -0.03
Re  0.000  0.000  0.500  0.07
Pd  0.000  0.000  0.000  0.00
Li  0.000  0.500  0.000  0.00
Li  0.500  0.000  0.000  0.00


No. 14
Compound: Cd2In
Source: Alexandria via LeMat-Bulk
Functional: meta-GGA SCAN
Structure: single point on PBEsol structure

The calculation puts the energy of formation at 113 meV per atom.

abc: 5.231 5.231 5.867
angles: 90.00 90.00 120.00
Fractional positions:
Cd  0.000  0.000  0.000
Cd  0.000  0.000  0.500
Cd  0.667  0.333  0.750
Cd  0.333  0.667  0.250
In  0.333  0.667  0.750
In  0.667  0.333  0.250


No. 15
Compound: K2GeI6O18
Source: Alexandria via LeMat-Bulk
Functional: meta-GGA SCAN
Structure: single point on PBEsol structure

Its formation energy from raw total energies is -779 meV per atom.

abc: 7.390 7.390 7.390
angles: 96.95 96.95 96.95
Fractional positions:
K  0.326  0.326  0.326
K  0.674  0.674  0.674
Ge  0.000  0.000  0.000
I  0.629  0.205  0.840
I  0.205  0.840  0.629
I  0.371  0.795  0.160
I  0.840  0.629  0.205
I  0.795  0.160  0.371
I  0.160  0.371  0.795
O  0.817  0.052  0.817
O  0.110  0.206  0.583
O  0.583  0.110  0.206
O  0.948  0.183  0.183
O  0.582  0.188  0.590
O  0.590  0.582  0.188
O  0.417  0.890  0.794
O  0.890  0.794  0.417
O  0.206  0.583  0.110
O  0.183  0.183  0.948
O  0.817  0.817  0.052
O  0.183  0.948  0.183
O  0.052  0.817  0.817
O  0.188  0.590  0.582
O  0.794  0.417  0.890
O  0.418  0.812  0.410
O  0.812  0.410  0.418
O  0.410  0.418  0.812


No. 16
Compound: Cd2Cu
Source: Alexandria via LeMat-Bulk
Functional: meta-GGA SCAN
Structure: single point on PBEsol structure

The calculation puts the energy of formation at 87 meV per atom.

abc: 4.589 4.589 5.606
angles: 90.00 90.00 120.00
Fractional positions:
Cd  0.000  0.000  0.000
Cd  0.000  0.000  0.500
Cd  0.667  0.333  0.750
Cd  0.333  0.667  0.250
Cu  0.667  0.333  0.250
Cu  0.333  0.667  0.750


No. 17
Compound: AlNi
Source: Alexandria via LeMat-Bulk
Functional: meta-GGA SCAN
Structure: single point on PBEsol structure

The calculation puts the energy of formation at -776 meV per atom.

abc: 2.859 2.859 2.859
angles: 90.00 90.00 90.00
Fractional positions:
Ni  0.500  0.500  0.500
Al  0.000  0.000  0.000


No. 18
Compound: Li2RuSe
Source: Alexandria via LeMat-Bulk
Functional: meta-GGA SCAN
Structure: single point on PBEsol structure

Its formation energy from raw total energies is -252 meV per atom.

abc: 3.708 3.708 4.531
angles: 114.15 114.15 90.00
Each line ends with the local moment (μB).
Fractional positions:
Ru  0.500  0.500  0.000  1.07
Se  0.250  0.750  0.500  0.07
Li  0.000  0.000  0.000  -0.01
Li  0.750  0.250  0.500  0.00


No. 19
Compound: Zr2CoGe2
Source: Alexandria via LeMat-Bulk
Functional: meta-GGA SCAN
Structure: single point on PBEsol structure

The calculation puts the energy of formation at 245 meV per atom.

abc: 4.164 4.164 6.437
angles: 108.87 108.87 90.00
Each line ends with the local moment (μB).
Fractional positions:
Ge  0.400  0.400  0.801  0.04
Ge  0.600  0.600  0.199  0.04
Co  0.000  0.000  0.000  2.16
Zr  0.250  0.750  0.500  0.01
Zr  0.750  0.250  0.500  0.01


No. 20
Compound: TiCuTe3
Source: Alexandria via LeMat-Bulk
Functional: meta-GGA SCAN
Structure: single point on PBEsol structure

Its formation energy from raw total energies is 376 meV per atom.

abc: 5.221 5.221 5.221
angles: 90.00 90.00 90.00
Fractional positions:
Te  0.000  0.500  0.000
Te  0.000  0.000  0.500
Te  0.500  0.000  0.000
Cu  0.500  0.500  0.500
Ti  0.000  0.000  0.000


no.,size of the total moment (μB/f.u.)
1,3.37
2,1.91
3,0.00
4,1.74
5,0.00
6,1.50
7,0.00
8,0.00
9,0.00
10,3.22
11,0.00
12,3.30
13,0.05
14,0.00
15,0.00
16,0.00
17,0.00
18,1.19
19,2.29
20,0.00